Here is a relaxed structure of YTlNiPd from the Open Quantum Materials Database. Energies are from PBE-GGA.

Results
E   -5.31 eV/atom
Spin magnetization   0.0 μB/f.u.

Cell: 4.7600 4.7600 4.7600 Å, 60.00 60.00 60.00°
Fractional positions:
Ni  0.7500  0.7500  0.7500
Pd  0.2500  0.2500  0.2500
Tl  0.0000  0.0000  0.0000
Y  0.5000  0.5000  0.5000